(1)
Cu2TcI8 after structural relaxation, computed with PBE-GGA.

Raw total energy, eV/atom: -2.886

Cell lengths 6.7718, 8.5096, 8.5096 Å; angles 92.18, 79.21, 79.21 degrees
Closest atoms and distances in Å follow each position.
Fractional positions:
I (0.8010, 0.0730, 0.7512)  1 Cu 2.60, 1 Tc 2.75
I (0.1990, 0.9270, 0.2488)  1 Cu 2.60, 1 Tc 2.75
I (0.7985, 0.5820, 0.5820)  1 Cu 2.61, 1 I 2.89
Tc (0.0000, 0.0000, 0.0000)  6 I 2.75-2.80
I (0.1990, 0.2488, 0.9270)  1 Cu 2.60, 1 Tc 2.75
I (0.6983, 0.2154, 0.2154)  1 Cu 2.56, 1 Tc 2.80
I (0.8010, 0.7512, 0.0730)  1 Cu 2.60, 1 Tc 2.75
I (0.2015, 0.4180, 0.4180)  1 Cu 2.61, 1 I 2.89
Cu (0.3359, 0.1889, 0.1889)  4 I 2.56-2.61
I (0.3017, 0.7846, 0.7846)  1 Cu 2.56, 1 Tc 2.80
Cu (0.6641, 0.8111, 0.8111)  4 I 2.56-2.61

***

(2)
Nb2SbP2 after structural relaxation, computed with PBE-GGA.

Offset from the most stable computed form, meV per atom: 78

Cell lengths 3.5916, 3.5916, 7.2529 Å; angles 75.66, 75.66, 90.00 degrees
Closest atoms and distances in Å follow each position.
Fractional positions:
P (0.7500, 0.2500, 0.5000)  4 P 2.54, 4 Nb 2.55
Nb (0.6165, 0.6165, 0.7670)  4 P 2.55
Sb (0.0000, 0.0000, 0.0000)  8 Nb 2.99
Nb (0.3835, 0.3835, 0.2330)  4 P 2.55
P (0.2500, 0.7500, 0.5000)  4 P 2.54, 4 Nb 2.55

***

(3)
BAs2Pd after structural relaxation, computed with PBE-GGA.

Formation energy, eV per formula unit: 0.247

Cell lengths 5.4738, 5.4738, 6.0534 Å; angles 63.12, 63.12, 90.00 degrees
Closest atoms and distances in Å follow each position.
Fractional positions:
B (0.5000, 0.5000, 0.0000)  4 As 2.08
Pd (0.7500, 0.2500, 0.5000)  4 As 2.46
As (0.5682, 0.1250, 0.2500)  2 B 2.08
Pd (0.0000, 0.0000, 0.0000)  4 As 2.46
As (0.8750, 0.8182, 0.7500)  2 B 2.08
As (0.1818, 0.6250, 0.2500)  2 B 2.08
B (0.2500, 0.7500, 0.5000)  4 As 2.08
As (0.3750, 0.4318, 0.7500)  2 B 2.08

***

(4)
Sm6Y8Pu after structural relaxation, computed with PBE-GGA.

Formation energy, eV per formula unit: 1.732

Cell lengths 8.6650, 8.6650, 8.6650 Å; angles 63.35, 63.35, 63.35 degrees
Closest atoms and distances in Å follow each position.
Fractional positions:
Y (0.8894, 0.2844, 0.2465)  3 Sm 3.42-3.65, 5 Y 3.44-3.46, 1 Pu 3.51
Y (0.1106, 0.7156, 0.7535)  3 Sm 3.42-3.65, 5 Y 3.44-3.46, 1 Pu 3.51
Sm (0.5460, 0.2234, 0.1087)  4 Y 3.40-3.65, 1 Pu 3.40, 4 Sm 3.57-3.70
Sm (0.4540, 0.7766, 0.8913)  4 Y 3.40-3.65, 1 Pu 3.40, 4 Sm 3.57-3.70
Y (0.5767, 0.5767, 0.5767)  4 Y 3.17-3.44, 3 Sm 3.40
Sm (0.2234, 0.1087, 0.5460)  4 Y 3.40-3.65, 1 Pu 3.40, 4 Sm 3.57-3.70
Sm (0.1087, 0.5460, 0.2234)  4 Y 3.40-3.65, 1 Pu 3.40, 4 Sm 3.57-3.70
Y (0.2844, 0.2465, 0.8894)  3 Sm 3.42-3.65, 5 Y 3.44-3.46, 1 Pu 3.51
Y (0.7535, 0.1106, 0.7156)  3 Sm 3.42-3.65, 5 Y 3.44-3.46, 1 Pu 3.51
Y (0.2465, 0.8894, 0.2844)  3 Sm 3.42-3.65, 5 Y 3.44-3.46, 1 Pu 3.51
Sm (0.8913, 0.4540, 0.7766)  4 Y 3.40-3.65, 1 Pu 3.40, 4 Sm 3.57-3.70
Y (0.4233, 0.4233, 0.4233)  4 Y 3.17-3.44, 3 Sm 3.40
Sm (0.7766, 0.8913, 0.4540)  4 Y 3.40-3.65, 1 Pu 3.40, 4 Sm 3.57-3.70
Pu (0.0000, 0.0000, 0.0000)  6 Sm 3.40, 6 Y 3.51
Y (0.7156, 0.7535, 0.1106)  3 Sm 3.42-3.65, 5 Y 3.44-3.46, 1 Pu 3.51

***

(5)
Mo2HPt after structural relaxation, computed with PBE-GGA.

Offset from the most stable computed form, meV per atom: 5

Cell lengths 2.8288, 2.8288, 7.2460 Å; angles 78.74, 78.74, 60.00 degrees
Closest atoms and distances in Å follow each position.
Fractional positions:
Mo (0.0601, 0.0601, 0.8198)  3 H 2.07
H (0.6669, 0.6669, 0.9993)  6 Mo 2.07
Mo (0.2736, 0.2736, 0.1791)  3 H 2.07
Pt (0.4994, 0.4994, 0.5018)  6 Mo 2.78-2.80, 6 Pt 2.83

***

(6)
SmY5Se6 after structural relaxation, computed with PBE-GGA.

Raw total energy, eV/atom: -6.605

Cell lengths 7.0909, 7.1061, 7.1145 Å; angles 60.04, 80.36, 70.40 degrees
Closest atoms and distances in Å follow each position.
Fractional positions:
Y (0.5000, 0.5000, 0.0000)  6 Se 2.87-2.90
Se (0.7465, 0.4234, 0.6607)  5 Y 2.89-2.90, 1 Sm 2.95
Y (0.5000, 0.1627, 0.6745)  6 Se 2.88-2.90
Y (0.0000, 0.3343, 0.3314)  6 Se 2.88-2.90
Se (0.7465, 0.0841, 0.3393)  5 Y 2.89-2.90, 1 Sm 2.95
Se (0.7491, 0.7451, 0.0000)  5 Y 2.87-2.88, 1 Sm 2.93
Sm (0.0000, 0.0000, 0.0000)  6 Se 2.93-2.95
Se (0.2535, 0.5766, 0.3393)  5 Y 2.89-2.90, 1 Sm 2.95
Se (0.2535, 0.9159, 0.6607)  5 Y 2.89-2.90, 1 Sm 2.95
Y (0.5000, 0.8373, 0.3255)  6 Se 2.88-2.90
Y (0.0000, 0.6657, 0.6686)  6 Se 2.88-2.90
Se (0.2509, 0.2549, 0.0000)  5 Y 2.87-2.88, 1 Sm 2.93

***

(7)
Mg2TlGa2 after structural relaxation, computed with PBE-GGA.

Formation energy, eV per formula unit: -0.188
Offset from the most stable computed form, meV per atom: 25

Cell lengths 8.3638, 8.3638, 3.1856 Å; angles 90.00, 90.00, 90.00 degrees
Closest atoms and distances in Å follow each position.
Fractional positions:
Tl (0.5000, 0.5000, 0.0000)  2 Tl 3.19, 4 Mg 3.24, 8 Ga 3.53
Ga (0.3413, 0.1587, 0.5000)  6 Mg 2.89-2.95, 2 Ga 3.19
Ga (0.1587, 0.6587, 0.5000)  6 Mg 2.89-2.95, 2 Ga 3.19
Mg (0.3626, 0.8626, 0.0000)  6 Ga 2.89-2.95, 2 Mg 3.19
Mg (0.8626, 0.6374, 0.0000)  6 Ga 2.89-2.95, 2 Mg 3.19
Ga (0.8413, 0.3413, 0.5000)  6 Mg 2.89-2.95, 2 Ga 3.19
Tl (0.0000, 0.0000, 0.0000)  2 Tl 3.19, 4 Mg 3.24, 8 Ga 3.53
Mg (0.1374, 0.3626, 0.0000)  6 Ga 2.89-2.95, 2 Mg 3.19
Mg (0.6374, 0.1374, 0.0000)  6 Ga 2.89-2.95, 2 Mg 3.19
Ga (0.6587, 0.8413, 0.5000)  6 Mg 2.89-2.95, 2 Ga 3.19

***

(8)
SiHO3 after structural relaxation, computed with PBE-GGA.

Raw total energy, eV/atom: -5.440

Cell lengths 3.4391, 3.4391, 3.4391 Å; angles 90.00, 90.00, 90.00 degrees
Closest atoms and distances in Å follow each position.
Fractional positions:
H (0.5000, 0.5000, 0.5000)  12 O 2.43
O (0.5000, 0.0000, 0.0000)  2 Si 1.72
O (0.0000, 0.5000, 0.0000)  2 Si 1.72
O (0.0000, 0.0000, 0.5000)  2 Si 1.72
Si (0.0000, 0.0000, 0.0000)  6 O 1.72

***

(9)
Sr2HfSbW after structural relaxation, computed with PBE-GGA.

Raw total energy, eV/atom: -5.271

Cell lengths 5.8188, 4.9843, 5.8188 Å; angles 90.00, 90.00, 90.00 degrees
Closest atoms and distances in Å follow each position.
Fractional positions:
Sb (0.5000, 0.5000, 0.5000)  8 Sr 3.83, 4 Hf 4.11
Sr (0.0000, 0.0000, 0.5000)  2 W 2.91
Hf (0.0000, 0.5000, 0.0000)  2 W 2.49
Sr (0.5000, 0.0000, 0.0000)  2 W 2.91
W (0.0000, 0.0000, 0.0000)  2 Hf 2.49

***

(10)
K2Zn2Ge after structural relaxation, computed with PBE-GGA.

Formation energy, eV per formula unit: -0.179
Offset from the most stable computed form, meV per atom: 0

Cell lengths 5.6281, 4.5161, 6.6079 Å; angles 70.02, 64.79, 90.00 degrees
Closest atoms and distances in Å follow each position.
Fractional positions:
K (0.6963, 0.1963, 0.6074)  6 Zn 3.44-3.64, 2 Ge 3.56, 4 K 3.80
Ge (0.0000, 0.0000, 0.0000)  4 Zn 2.66
Zn (0.2500, 0.5000, 0.0000)  2 Ge 2.66, 2 Zn 2.81
Zn (0.7500, 0.5000, 0.0000)  2 Ge 2.66, 2 Zn 2.81
K (0.3037, 0.8037, 0.3926)  6 Zn 3.44-3.64, 2 Ge 3.56, 4 K 3.80

***

(11)
Pm2SmEr after structural relaxation, computed with PBE-GGA.

Formation energy, eV per formula unit: 0.065
Offset from the most stable computed form, meV per atom: 1

Cell lengths 5.1109, 5.1118, 6.2424 Å; angles 114.17, 114.17, 90.00 degrees
Closest atoms and distances in Å follow each position.
Fractional positions:
Sm (0.2498, 0.7498, 0.4996)  4 Er 3.60-3.61, 8 Pm 3.61
Er (0.5000, 0.5000, 0.0000)  4 Sm 3.60-3.61, 8 Pm 3.60-3.61
Pm (0.0000, 0.0000, 0.9999)  4 Pm 3.60-3.61, 4 Sm 3.61, 4 Er 3.61
Pm (0.7502, 0.2502, 0.5005)  4 Pm 3.60-3.61, 4 Er 3.60-3.61, 4 Sm 3.61

***

(12)
K2VIr2 after structural relaxation, computed with PBE-GGA.

Formation energy, eV per formula unit: 6.638
Offset from the most stable computed form, meV per atom: 860

Cell lengths 3.5330, 3.5330, 8.3158 Å; angles 77.74, 77.74, 90.00 degrees
Closest atoms and distances in Å follow each position.
Fractional positions:
Ir (0.4183, 0.4183, 0.1635)  1 Ir 2.59, 4 V 2.81
K (0.2500, 0.7500, 0.5000)  4 K 2.50
V (0.0000, 0.0000, 0.0000)  8 Ir 2.81
Ir (0.5817, 0.5817, 0.8365)  1 Ir 2.59, 4 V 2.81
K (0.7500, 0.2500, 0.5000)  4 K 2.50